Compound: CsCu2Br3
Source: Alexandria via LeMat-Bulk
Functional: GGA-PBEsol
Structure: relaxed

Unit cell a=9.5234 b=12.2565 c=5.6468 alpha=90.00 beta=90.00 gamma=90.00
Closest atoms and distances in Å follow each position.
Space group Cmcm (No. 63)
Asymmetric unit:
Cs (0.0000, 0.1698, 0.2500) [4 per cell]  8 Br 3.58-3.74
Cu (0.1354, 0.5000, 0.0000) [8 per cell]  4 Br 2.43-2.49, 1 Cu 2.58
Br (0.0000, 0.3697, 0.7500) [4 per cell]  4 Cu 2.49
Br (0.2208, 0.1167, 0.7500) [8 per cell]  2 Cu 2.43

size of the total moment: 0.00 μB per atom
final energy: -3.3110 eV/atom
uncorrected formation energy: -0.7742 eV per atom
calculated volume: 27.463 A^3/atom